1.
# H2OsN | Alexandria via LeMat-Bulk | PBE-GGA | relaxed
data_H2OsN
_symmetry_space_group_name_H-M 'C 1 m 1'
_symmetry_Int_Tables_number 8
_cell_length_a 9.588
_cell_length_b 3.695
_cell_length_c 2.815
_cell_angle_alpha 90.00
_cell_angle_beta 94.44
_cell_angle_gamma 90.00
loop_
_symmetry_equiv_pos_as_xyz
'x,y,z'
'x,-y,z'
'x+1/2,y+1/2,z'
'x+1/2,-y+1/2,z'
loop_
_atom_site_label
_atom_site_type_symbol
_atom_site_fract_x
_atom_site_fract_y
_atom_site_fract_z
H1 H 0.000 0.000 0.000
H2 H 0.246 0.000 0.065
Os1 Os 0.123 0.000 0.582
N1 N 0.123 0.500 0.577
# - Mass density: 6.89 g/cm3
# - E_tot: -6.159 eV per atom

---

2.
# CsMg2GaIr | Alexandria via LeMat-Bulk | PBE-GGA | relaxed
data_CsMg2GaIr
_symmetry_space_group_name_H-M 'P 4/m m m'
_symmetry_Int_Tables_number 123
_symmetry_space_group_name_Hall '-P 4 2'
_cell_length_a 5.265
_cell_length_b 5.265
_cell_length_c 4.912
_cell_angle_alpha 90.00
_cell_angle_beta 90.00
_cell_angle_gamma 90.00
loop_
_atom_site_label
_atom_site_type_symbol
_atom_site_fract_x
_atom_site_fract_y
_atom_site_fract_z
Cs1 Cs 0.000 0.000 0.000
Mg1 Mg 0.000 0.500 0.500
Ga1 Ga 0.500 0.500 0.000
Ir1 Ir 0.500 0.500 0.500
# - Calculated formation energy: -180 meV per atom
# - Mass density: 5.41 g/cm3
# - E_tot: -3.366 eV per atom

---

3.
# Ba2CrPb | Alexandria via LeMat-Bulk | PBE-GGA | relaxed
data_Ba2CrPb
_symmetry_space_group_name_H-M 'P 4/m m m'
_symmetry_Int_Tables_number 123
_symmetry_space_group_name_Hall '-P 4 2'
_cell_length_a 6.063
_cell_length_b 6.063
_cell_length_c 4.212
_cell_angle_alpha 90.00
_cell_angle_beta 90.00
_cell_angle_gamma 90.00
loop_
_atom_site_label
_atom_site_type_symbol
_atom_site_fract_x
_atom_site_fract_y
_atom_site_fract_z
Ba1 Ba 0.000 0.500 0.000
Cr1 Cr 0.000 0.000 0.500
Pb1 Pb 0.500 0.500 0.500
# - Calculated formation energy: 133 meV per atom
# - Mass density: 5.72 g/cm3
# - E_tot: -4.162 eV per atom